# 1
An optimized crystal structure of Sr2FeBH. Source: Alexandria via LeMat-Bulk, functional PBE.

Calculated values
- total DFT energy (no corrections) (eV/atom) = -4.045
- volume (Å³ per cell) = 117.99

The structure in CIF format:
```
data_Sr2FeBH
_cell_length_a 5.564
_cell_length_b 5.564
_cell_length_c 3.811
_cell_angle_alpha 90.00
_cell_angle_beta 90.00
_cell_angle_gamma 90.00
_symmetry_space_group_name_H-M 'P 4/m m m'
_symmetry_Int_Tables_number 123
_symmetry_space_group_name_Hall '-P 4 2'
loop_
_atom_site_label
_atom_site_type_symbol
_atom_site_fract_x
_atom_site_fract_y
_atom_site_fract_z
Sr1 Sr 0.000 0.500 0.000
Fe1 Fe 0.000 0.000 0.500
B1 B 0.000 0.000 0.000
H1 H 0.500 0.500 0.500
```

# 2
An optimized crystal structure of FeTcBH2. Source: Alexandria via LeMat-Bulk, functional PBE.

Calculated values
- total DFT energy (no corrections) (eV/atom) = -6.157
- volume (Å³ per cell) = 38.30

The structure in CIF format:
```
data_FeTcBH2
_cell_length_a 3.104
_cell_length_b 3.104
_cell_length_c 3.976
_cell_angle_alpha 90.00
_cell_angle_beta 90.00
_cell_angle_gamma 90.00
_symmetry_space_group_name_H-M 'P 4/m m m'
_symmetry_Int_Tables_number 123
_symmetry_space_group_name_Hall '-P 4 2'
loop_
_atom_site_label
_atom_site_type_symbol
_atom_site_fract_x
_atom_site_fract_y
_atom_site_fract_z
Fe1 Fe 0.000 0.000 0.000
Tc1 Tc 0.500 0.500 0.500
B1 B 0.000 0.000 0.500
H1 H 0.000 0.500 0.000
```

# 3
An optimized crystal structure of HfFeB3. Source: Alexandria via LeMat-Bulk, functional PBE.

Calculated values
- DFT formation energy (eV/atom) = 0.2239
- total DFT energy (no corrections) (eV/atom) = -7.466
- volume (Å³ per cell) = 52.33

The structure in CIF format:
```
data_HfFeB3
_cell_length_a 3.740
_cell_length_b 3.740
_cell_length_c 3.740
_cell_angle_alpha 90.00
_cell_angle_beta 90.00
_cell_angle_gamma 90.00
_symmetry_space_group_name_H-M 'P m -3 m'
_symmetry_Int_Tables_number 221
_symmetry_space_group_name_Hall '-P 4 2 3'
loop_
_atom_site_label
_atom_site_type_symbol
_atom_site_fract_x
_atom_site_fract_y
_atom_site_fract_z
Hf1 Hf 0.000 0.000 0.000
Fe1 Fe 0.500 0.500 0.500
B1 B 0.000 0.500 0.500
```

# 4
An optimized crystal structure of HfFe8B4. Source: Alexandria via LeMat-Bulk, functional PBE.

Calculated values
- DFT formation energy (eV/atom) = -0.1657
- total DFT energy (no corrections) (eV/atom) = -8.194
- volume (Å³ per cell) = 252.41

The structure in CIF format:
```
data_HfFe8B4
_cell_length_a 7.614
_cell_length_b 7.614
_cell_length_c 4.354
_cell_angle_alpha 90.00
_cell_angle_beta 90.00
_cell_angle_gamma 90.00
_symmetry_space_group_name_H-M 'I 4/m m m'
_symmetry_Int_Tables_number 139
_symmetry_space_group_name_Hall '-I 4 2'
loop_
_atom_site_label
_atom_site_type_symbol
_atom_site_fract_x
_atom_site_fract_y
_atom_site_fract_z
Hf1 Hf 0.000 0.000 0.000
Fe1 Fe 0.000 0.222 0.500
Fe2 Fe 0.000 0.348 0.000
B1 B 0.250 0.250 0.250
```

# 5
An optimized crystal structure of HfFe2B. Source: Alexandria via LeMat-Bulk, functional PBE.

Calculated values
- DFT formation energy (eV/atom) = -0.0407
- total DFT energy (no corrections) (eV/atom) = -8.430
- volume (Å³ per cell) = 198.87

The structure in CIF format:
```
data_HfFe2B
_cell_length_a 6.461
_cell_length_b 6.461
_cell_length_c 4.764
_cell_angle_alpha 90.00
_cell_angle_beta 90.00
_cell_angle_gamma 90.00
_symmetry_space_group_name_H-M 'I -4 2 d'
_symmetry_Int_Tables_number 122
_symmetry_space_group_name_Hall 'I -4 2bw'
loop_
_atom_site_label
_atom_site_type_symbol
_atom_site_fract_x
_atom_site_fract_y
_atom_site_fract_z
Hf1 Hf 0.000 0.000 0.000
Fe1 Fe 0.150 0.250 0.625
B1 B 0.000 0.000 0.500
```

# 6
An optimized crystal structure of Hf2FeB. Source: Alexandria via LeMat-Bulk, functional PBE.

Calculated values
- DFT formation energy (eV/atom) = 0.3765
- total DFT energy (no corrections) (eV/atom) = -8.385
- volume (Å³ per cell) = 263.52

The structure in CIF format:
```
data_Hf2FeB
_cell_length_a 6.612
_cell_length_b 6.612
_cell_length_c 6.027
_cell_angle_alpha 90.00
_cell_angle_beta 90.00
_cell_angle_gamma 90.00
_symmetry_space_group_name_H-M 'I -4 2 d'
_symmetry_Int_Tables_number 122
_symmetry_space_group_name_Hall 'I -4 2bw'
loop_
_atom_site_label
_atom_site_type_symbol
_atom_site_fract_x
_atom_site_fract_y
_atom_site_fract_z
Hf1 Hf 0.215 0.750 0.125
Fe1 Fe 0.000 0.000 0.500
B1 B 0.000 0.000 0.000
```

# 7
An optimized crystal structure of HfFe2B4. Source: Alexandria via LeMat-Bulk, functional PBE.

Calculated values
- DFT formation energy (eV/atom) = -0.5395
- total DFT energy (no corrections) (eV/atom) = -8.195
- volume (Å³ per cell) = 125.23

The structure in CIF format:
```
data_HfFe2B4
_cell_length_a 3.036
_cell_length_b 3.267
_cell_length_c 12.627
_cell_angle_alpha 90.00
_cell_angle_beta 90.00
_cell_angle_gamma 90.00
_symmetry_space_group_name_H-M 'I m m m'
_symmetry_Int_Tables_number 71
_symmetry_space_group_name_Hall '-I 2 2'
loop_
_atom_site_label
_atom_site_type_symbol
_atom_site_fract_x
_atom_site_fract_y
_atom_site_fract_z
Hf1 Hf 0.000 0.000 0.000
Fe1 Fe 0.000 0.500 0.312
B1 B 0.000 0.000 0.423
B2 B 0.000 0.500 0.150
```

# 8
An optimized crystal structure of HfFeB3. Source: Alexandria via LeMat-Bulk, functional PBE.

Calculated values
- DFT formation energy (eV/atom) = 2.2353
- total DFT energy (no corrections) (eV/atom) = -5.454
- volume (Å³ per cell) = 76.45

The structure in CIF format:
```
data_HfFeB3
_cell_length_a 4.244
_cell_length_b 4.244
_cell_length_c 4.244
_cell_angle_alpha 90.00
_cell_angle_beta 90.00
_cell_angle_gamma 90.00
_symmetry_space_group_name_H-M 'P m -3 m'
_symmetry_Int_Tables_number 221
_symmetry_space_group_name_Hall '-P 4 2 3'
loop_
_atom_site_label
_atom_site_type_symbol
_atom_site_fract_x
_atom_site_fract_y
_atom_site_fract_z
Hf1 Hf 0.000 0.000 0.000
Fe1 Fe 0.500 0.500 0.500
B1 B 0.000 0.000 0.500
```

# 9
An optimized crystal structure of HfFe5B2. Source: Alexandria via LeMat-Bulk, functional PBE.

Calculated values
- DFT formation energy (eV/atom) = -0.3394
- total DFT energy (no corrections) (eV/atom) = -8.542
- volume (Å³ per cell) = 175.21

The structure in CIF format:
```
data_HfFe5B2
_cell_length_a 3.197
_cell_length_b 6.525
_cell_length_c 8.400
_cell_angle_alpha 90.00
_cell_angle_beta 90.00
_cell_angle_gamma 90.00
_symmetry_space_group_name_H-M 'I m m m'
_symmetry_Int_Tables_number 71
_symmetry_space_group_name_Hall '-I 2 2'
loop_
_atom_site_label
_atom_site_type_symbol
_atom_site_fract_x
_atom_site_fract_y
_atom_site_fract_z
Hf1 Hf 0.000 0.000 0.000
Fe1 Fe 0.000 0.188 0.342
Fe2 Fe 0.000 0.500 0.000
B1 B 0.000 0.500 0.258
```

# 10
An optimized crystal structure of HfFeB4. Source: Alexandria via LeMat-Bulk, functional PBE.

Calculated values
- DFT formation energy (eV/atom) = -0.6648
- total DFT energy (no corrections) (eV/atom) = -8.186
- volume (Å³ per cell) = 207.47

The structure in CIF format:
```
data_HfFeB4
_cell_length_a 5.744
_cell_length_b 11.141
_cell_length_c 3.242
_cell_angle_alpha 90.00
_cell_angle_beta 90.00
_cell_angle_gamma 90.00
_symmetry_space_group_name_H-M 'P b a m'
_symmetry_Int_Tables_number 55
loop_
_symmetry_equiv_pos_as_xyz
'x,y,z'
'-x,-y,-z'
'-x,-y,z'
'x,y,-z'
'x+1/2,-y+1/2,-z'
'-x+1/2,y+1/2,z'
'-x+1/2,y+1/2,-z'
'x+1/2,-y+1/2,z'
loop_
_atom_site_label
_atom_site_type_symbol
_atom_site_fract_x
_atom_site_fract_y
_atom_site_fract_z
Hf1 Hf 0.129 0.150 0.000
Fe1 Fe 0.134 0.409 0.000
B1 B 0.025 0.693 0.500
B2 B 0.114 0.547 0.500
B3 B 0.134 0.968 0.500
B4 B 0.211 0.814 0.500
```

# 11
An optimized crystal structure of HfFe2B2. Source: Alexandria via LeMat-Bulk, functional PBE.

Calculated values
- DFT formation energy (eV/atom) = -0.1475
- total DFT energy (no corrections) (eV/atom) = -8.194
- volume (Å³ per cell) = 104.43

The structure in CIF format:
```
data_HfFe2B2
_cell_length_a 6.039
_cell_length_b 6.039
_cell_length_c 2.863
_cell_angle_alpha 90.00
_cell_angle_beta 90.00
_cell_angle_gamma 90.00
_symmetry_space_group_name_H-M 'P 4/m b m'
_symmetry_Int_Tables_number 127
_symmetry_space_group_name_Hall '-P 4 2ab'
loop_
_atom_site_label
_atom_site_type_symbol
_atom_site_fract_x
_atom_site_fract_y
_atom_site_fract_z
Hf1 Hf 0.000 0.000 0.000
Fe1 Fe 0.157 0.343 0.500
B1 B 0.106 0.606 0.000
```

# 12
An optimized crystal structure of HfFe2BI. Source: Alexandria via LeMat-Bulk, functional PBE.

Calculated values
- total DFT energy (no corrections) (eV/atom) = -5.377
- E_form (uncorrected) (kcal/mol of atoms) = 37.92
- volume (Å³ per cell) = 108.80

The structure in CIF format:
```
data_HfFe2BI
_cell_length_a 4.901
_cell_length_b 4.901
_cell_length_c 4.531
_cell_angle_alpha 90.00
_cell_angle_beta 90.00
_cell_angle_gamma 90.00
_symmetry_space_group_name_H-M 'P 4/m m m'
_symmetry_Int_Tables_number 123
_symmetry_space_group_name_Hall '-P 4 2'
loop_
_atom_site_label
_atom_site_type_symbol
_atom_site_fract_x
_atom_site_fract_y
_atom_site_fract_z
Hf1 Hf 0.000 0.000 0.000
Fe1 Fe 0.000 0.500 0.000
B1 B 0.000 0.000 0.500
I1 I 0.500 0.500 0.500
```